This record from the Alexandria database describes an optimized crystal structure of CsSrGaSb2. The functional is GGA-PBEsol.

The space group is P4/mmm (No. 123) and the conventional cell measures 6.136, 6.136 and 6.032 Å, with angles of 90.00, 90.00 and 90.00 degrees. The inequivalent atoms are Cs at (0.000, 0.000, 0.000), Sr at (0.000, 0.000, 0.500), Ga at (0.500, 0.500, 0.500) and Sb at (0.000, 0.500, 0.000).

For the uncorrected formation energy, the calculation gives 1.030 eV/atom.